Below is a geometry-optimized Gd2AsPb structure, with properties calculated at the PBE level.

POSCAR file:
```
Gd2AsPb
1.0
4.0891 0.0000 0.0000
2.0445 3.5412 0.0000
2.0445 1.1804 7.8291
Pb As Gd
1 1 2
direct
0.5000 0.5000 0.5000
0.0000 0.0000 0.0000
0.2623 0.2623 0.2130
0.7377 0.7377 0.7870
```

## Properties
**V**: 113 Å³/f.u.
**Formation energy from the elements**: -22.87 kcal/mol of atoms
**M_tot**: 3.540 μB/atom

Below is a geometry-optimized GdAs2Pd structure, with properties calculated at the PBE level.

POSCAR file:
```
GdAs2Pd
1.0
3.8743 0.0000 0.0000
0.0000 4.4779 0.0000
0.0000 0.0000 4.4779
As Gd Pd
2 1 1
direct
0.0000 0.0000 0.5000
0.0000 0.5000 0.0000
0.5000 0.5000 0.5000
0.5000 0.0000 0.0000
```

## Properties
**V**: 78 Å³/f.u.
**Formation energy from the elements**: -16.78 kcal/mol of atoms
**M_tot**: 1.749 μB/atom

Below is a geometry-optimized GdAs2Pd structure, with properties calculated at the PBE level.

POSCAR file:
```
GdAs2Pd
1.0
3.4427 0.0000 0.0000
1.7213 2.9815 0.0000
1.7213 0.9938 9.0449
As Gd Pd
2 1 1
direct
0.1064 0.1064 0.6807
0.8936 0.8936 0.3193
0.0000 0.0000 0.0000
0.5000 0.5000 0.5000
```

## Properties
**V**: 93 Å³/f.u.
**Formation energy from the elements**: -2.25 kcal/mol of atoms
**M_tot**: 1.815 μB/atom

Below is a geometry-optimized Gd2AsPd structure, with properties calculated at the PBE level.

POSCAR file:
```
Gd2AsPd
1.0
4.0885 0.0000 0.0000
2.0442 3.5407 0.0000
2.0442 1.1802 6.9760
As Gd Pd
1 2 1
direct
0.0000 0.0000 0.0000
0.7495 0.7495 0.7514
0.2505 0.2505 0.2486
0.5000 0.5000 0.5000
```

## Properties
**V**: 101 Å³/f.u.
**Formation energy from the elements**: -24.00 kcal/mol of atoms
**M_tot**: 3.614 μB/atom

Below is a geometry-optimized GdAs2Pd3 structure, with properties calculated at the PBE level.

POSCAR file:
```
GdAs2Pd3
1.0
-7.3525 -4.4218 0.8797
-4.6647 -7.2429 -0.4053
0.0530 -4.1235 9.1642
Gd As Pd
3 6 9
direct
0.8463 0.8463 0.6984
0.0000 0.0000 0.0000
0.1537 0.1537 0.3016
0.6366 0.6366 0.5449
0.4593 0.4593 0.7875
0.1988 0.1988 0.8678
0.3634 0.3634 0.4551
0.8012 0.8012 0.1322
0.5407 0.5407 0.2125
0.3189 0.3189 0.9666
0.0408 0.0408 0.6688
0.7800 0.7800 0.3902
0.6811 0.6811 0.0334
0.6203 0.6203 0.8031
0.3797 0.3797 0.1969
0.9592 0.9592 0.3312
0.5000 0.5000 0.5000
0.2200 0.2200 0.6098
```

## Properties
**V**: 110 Å³/f.u.
**Formation energy from the elements**: -18.46 kcal/mol of atoms
**M_tot**: 1.170 μB/atom

Below is a geometry-optimized PmGdAsPd structure, with properties calculated at the PBE level.

POSCAR file:
```
PmGdAsPd
1.0
-0.2735 1.3701 4.8851
-3.8434 -1.6440 2.8882
0.8522 -3.4286 3.6517
As Gd Pd Pm
1 1 1 1
direct
0.0000 0.0000 0.0000
0.2500 0.2500 0.2500
0.5000 0.5000 0.5000
0.7500 0.7500 0.7500
```

## Properties
**V**: 93 Å³/f.u.
**Formation energy from the elements**: -21.10 kcal/mol of atoms
**M_tot**: 1.967 μB/atom